# 1
La2TlOsN, relaxed, DFT GGA-PBE; E_tot = -6.896 eV per atom; space group = P4/mmm (123); ρ = 9.9 g/cm3; formation energy without anion corrections = -0.5409 eV per atom
1.0
-4.091 3.613 -0.029
-1.560 -1.806 -4.909
-2.308 -2.600 1.690
Tl N Os La
1 1 1 2
direct
0.500 0.500 0.500
0.000 0.000 0.000
0.000 0.000 0.500
0.000 0.500 0.000
0.500 0.000 0.000

=====

# 2
SrReNi2, relaxed, DFT GGA-PBE; E_tot = -5.938 eV per atom; distance to the lowest polymorph of the same formula = 1.37 eV/f.u.; space group = Pm (6); ρ = 9.4 g/cm3; ΔH_f (0 K) = 0.485 eV per atom
1.0
-0.245 1.289 -3.969
1.855 -1.952 -0.748
-3.485 -4.802 -1.345
Ni Re Sr
2 1 1
direct
0.000 0.165 0.045
0.500 0.050 0.280
0.000 0.492 0.389
0.500 0.793 0.786

=====

- Which formula does entry 1 have?
  La2TlOsN